Density functional theory data (GGA+U) for a relaxed structure of ErCrIO4.

Results
E_tot	-6.6287	eV per atom
volume	245	Å³ per cell
symmetry	No. 12

```
data_ErCrIO4
_chemical_formula_sum 'Er2 Cr2 I2 O8'
_cell_length_a 6.624
_cell_length_b 6.624
_cell_length_c 6.569
_cell_angle_alpha 79.48
_cell_angle_beta 79.48
_cell_angle_gamma 60.56
_space_group_name_H-M_alt 'P 1'
_space_group_IT_number 1
loop_
_space_group_symop_operation_xyz
'x,y,z'
loop_
_atom_site_label
_atom_site_type_symbol
_atom_site_fract_x
_atom_site_fract_y
_atom_site_fract_z
Cr1 Cr 0.632 0.632 0.729
Cr2 Cr 0.368 0.368 0.271
O1 O 0.482 0.482 0.773
O2 O 0.703 0.703 0.480
O3 O 0.881 0.490 0.866
O4 O 0.119 0.510 0.134
O5 O 0.510 0.119 0.134
O6 O 0.297 0.297 0.520
O7 O 0.518 0.518 0.227
O8 O 0.490 0.881 0.866
I1 I 0.014 0.014 0.271
I2 I 0.986 0.986 0.729
Er1 Er 0.279 0.279 0.862
Er2 Er 0.721 0.721 0.138
```